A relaxed VBiPtO6 crystal. Source: the Alexandria database, functional PBE+U.

Cell: 4.7847 4.7847 9.7320 Å, 90.00 90.00 90.00°
With the nearest neighbours (Å) after each atom.
Fractional positions:
V 0.0000 0.0000 0.0000  6 O 1.97-1.99
V 0.5000 0.5000 0.5000  6 O 1.97-1.99
Bi 0.0000 0.0000 0.6690  6 O 2.22-2.25
Bi 0.5000 0.5000 0.1690  6 O 2.22-2.25
Pt 0.0000 0.0000 0.3360  6 O 2.03-2.06
Pt 0.5000 0.5000 0.8360  6 O 2.03-2.06
O 0.1720 0.1720 0.1639  1 V 1.97, 1 Pt 2.04
O 0.2007 0.2007 0.8512  1 V 1.99, 1 Pt 2.03
O 0.2091 0.2091 0.4894  1 V 1.97, 1 Pt 2.06
O 0.2909 0.7091 0.9894  1 V 1.97, 1 Pt 2.06
O 0.2993 0.7007 0.3512  1 V 1.99, 1 Pt 2.03
O 0.3280 0.6720 0.6639  1 V 1.97, 1 Pt 2.04
O 0.6720 0.3280 0.6639  1 V 1.97, 1 Pt 2.04
O 0.7007 0.2993 0.3512  1 V 1.99, 1 Pt 2.03
O 0.7091 0.2909 0.9894  1 V 1.97, 1 Pt 2.06
O 0.7909 0.7909 0.4894  1 V 1.97, 1 Pt 2.06
O 0.7993 0.7993 0.8512  1 V 1.99, 1 Pt 2.03
O 0.8280 0.8280 0.1639  1 V 1.97, 1 Pt 2.04

## Properties
The density of states at the Fermi level is 0.378 states/eV/atom. Its final energy is -57.1 eV/f.u. Its space-group type is P4_2nm, No. 102.